Entry 1:
Ce2Hf2N5 PBE relaxed; E_tot = -9.663 eV per atom; space-group type = Ima2, No. 46
1.0
5.5212 0.0000 -1.9722
-0.9015 5.3628 -2.5238
0.0064 0.7595 8.7321
N Hf Ce
10 4 4
Direct
0.6859 0.5312 0.2773
0.9086 0.7539 0.7227
0.2235 0.2310 0.9470
0.7235 0.2160 0.9470
0.8660 0.1227 0.5000
0.4086 0.4688 0.7227
0.7765 0.7840 0.0530
0.1859 0.2461 0.2773
0.3660 0.8773 0.5000
0.2765 0.7690 0.0530
0.0034 0.0000 0.0000
0.2158 0.1932 0.5000
0.7158 0.8068 0.5000
0.5034 0.5000 0.0000
0.8840 0.4119 0.7837
0.1003 0.5881 0.2163
0.3840 0.8718 0.7837
0.6003 0.1282 0.2163



Entry 2:
YAlB2Mo PBE relaxed; E_tot = -4.559 eV per atom; space-group type = P4/mmm, No. 123
1.0
-4.0725 -1.9445 -0.5554
-0.6218 -0.1412 5.0542
-1.9446 4.1083 -0.1245
B Mo Y Al
2 1 1 1
Direct
0.0000 0.0000 0.5000
0.5000 0.0000 0.0000
0.0000 0.5000 0.0000
0.0000 0.0000 0.0000
0.5000 0.5000 0.5000



Entry 3:
Cs5Mg2S5 PBE relaxed; E_tot = -3.409 eV per atom; space-group type = C2/m, No. 12
1.0
4.2232 0.0000 0.0000
-2.1116 8.2291 0.5987
0.0000 -2.8765 11.6685
S Cs Mg
5 5 2
Direct
0.8910 0.7820 0.6683
0.6084 0.2167 0.7801
0.0000 0.0000 0.0000
0.1090 0.2180 0.3317
0.3916 0.7833 0.2199
0.2152 0.4304 0.6299
0.6532 0.3065 0.0803
0.3468 0.6935 0.9197
0.7848 0.5696 0.3701
0.5000 0.0000 0.5000
0.0260 0.0520 0.8026
0.9740 0.9480 0.1974



Entry 4:
MgCdPd PBE relaxed; energy above the lowest structure with this stoichiometry = 0.115 eV per atom; space-group type = F-43m, No. 216
1.0
4.5049 0.0000 0.0000
2.2525 3.9014 0.0000
2.2525 1.3005 3.6782
Mg Cd Pd
1 1 1
Direct
0.0000 0.0000 0.0000
0.5000 0.5000 0.5000
0.2500 0.2500 0.2500